[1]
DFT (GGA-PBE) results for a relaxed structure of KMg3Re.

Unit cell a=5.0098 b=5.0098 c=5.0098 alpha=90.00 beta=90.00 gamma=90.00
Last column: magnetic moment on the atom in μB.
Sites, in units of the cell vectors:
Re1 0.5000 0.5000 0.5000  1.99
K1 0.0000 0.0000 0.0000  -0.06
Mg1 0.0000 0.5000 0.0000  -0.03
Mg2 0.0000 0.0000 0.5000  -0.03
Mg3 0.5000 0.0000 0.0000  -0.02

Output
size of the total moment = 2.0 μB/f.u.
energy relative to the elements = 2.18 eV per atom
ΔE to the lowest computed polymorph = 1454.3 meV per atom
calculated volume = 125.74 Å³/f.u.

=====

[2]
DFT (GGA-PBE) results for a relaxed structure of SmZrTe.

Unit cell a=4.2841 b=4.2841 c=8.5034 alpha=90.00 beta=90.00 gamma=90.00
Sites, in units of the cell vectors:
Sm1 0.0000 0.5000 0.8615
Sm2 0.5000 0.0000 0.1385
Te1 0.0000 0.5000 0.2460
Te2 0.5000 0.0000 0.7540
Zr1 0.5000 0.5000 0.5000
Zr2 0.0000 0.0000 0.5000

Output
size of the total moment = 0.0 μB/f.u.
calculated volume = 78.03 Å³/f.u.
uncorrected formation energy = -858 meV/atom

=====

[3]
DFT (GGA-PBE) results for a relaxed structure of Ba2InCo.

Unit cell a=5.5434 b=5.5434 c=5.5434 alpha=60.00 beta=60.00 gamma=60.00
Last column: magnetic moment on the atom in μB.
Sites, in units of the cell vectors:
Ba1 0.0000 0.0000 0.0000  -0.02
Ba2 0.2500 0.2500 0.2500  0.00
Co1 0.5000 0.5000 0.5000  1.67
In1 0.7500 0.7500 0.7500  0.01

Output
size of the total moment = 1.7 μB/f.u.
energy relative to the elements = 0.34 eV per atom
calculated volume = 120.45 Å³/f.u.